No. 1
VASP calculation (GGA-PBEsol) on a geometry-optimized PbBr structure.

For the uncorrected formation energy, the calculation gives -372 meV/atom. The total energy is -13.2 eV/cell.

It has space group Pmmn (No. 59, origin choice 2), with a = 3.4693 Å, b = 5.3926 Å, c = 6.2285 Å, α = 90.00°, β = 90.00° and γ = 90.00°. The inequivalent atoms are Pb at (0.2500, 0.2500, 0.1922) and Br at (0.2500, 0.2500, 0.6731).

***

No. 2
VASP calculation (GGA-PBEsol) on a geometry-optimized SbAs2Au structure.

For the uncorrected formation energy, the calculation gives 36 meV/atom. The total energy is -37.1 eV/cell.

It has space group Amm2 (No. 38), with a = 3.8550 Å, b = 5.5298 Å, c = 7.8757 Å, α = 90.00°, β = 90.00° and γ = 90.00°. The inequivalent atoms are Sb at (0.0000, 0.0000, 0.0000), As at (0.0000, 0.0000, 0.4820), As at (0.5000, 0.0000, 0.7321) and Au at (0.5000, 0.0000, 0.2514).

***

No. 3
VASP calculation (GGA-PBEsol) on a geometry-optimized TcPb2AuO structure.

For the uncorrected formation energy, the calculation gives -115 meV/atom. The total energy is -29.0 eV/cell.

It has space group P4/mmm (No. 123), with a = 5.4104 Å, b = 5.4104 Å, c = 3.6556 Å, α = 90.00°, β = 90.00° and γ = 90.00°. The inequivalent atoms are Tc at (0.0000, 0.0000, 0.0000), Pb at (0.0000, 0.5000, 0.0000), Au at (0.5000, 0.5000, 0.5000) and O at (0.0000, 0.0000, 0.5000).